[1]
# PBE+U Mn2HgO4, relaxed
data_Mn2HgO4
_symmetry_space_group_name_H-M 'F d d d'
_symmetry_Int_Tables_number 70
_cell_length_a 8.4710
_cell_length_b 8.4830
_cell_length_c 10.0715
_cell_angle_alpha 90.00
_cell_angle_beta 90.00
_cell_angle_gamma 90.00
loop_
_symmetry_equiv_pos_as_xyz
'x,y,z'
'-x,-y,-z'
'-x+1/4,-y+1/4,z'
'x+1/4,y+1/4,-z'
'x,-y+1/4,-z+1/4'
'-x,y+1/4,z+1/4'
'-x+1/4,y,-z+1/4'
'x+1/4,-y,z+1/4'
'x,y+1/2,z+1/2'
'-x,-y+1/2,-z+1/2'
'-x+1/4,-y+3/4,z+1/2'
'x+1/4,y+3/4,-z+1/2'
'x,-y+3/4,-z+3/4'
'-x,y+3/4,z+3/4'
'-x+1/4,y+1/2,-z+3/4'
'x+1/4,-y+1/2,z+3/4'
'x+1/2,y,z+1/2'
'-x+1/2,-y,-z+1/2'
'-x+3/4,-y+1/4,z+1/2'
'x+3/4,y+1/4,-z+1/2'
'x+1/2,-y+1/4,-z+3/4'
'-x+1/2,y+1/4,z+3/4'
'-x+3/4,y,-z+3/4'
'x+3/4,-y,z+3/4'
'x+1/2,y+1/2,z'
'-x+1/2,-y+1/2,-z'
'-x+3/4,-y+3/4,z'
'x+3/4,y+3/4,-z'
'x+1/2,-y+3/4,-z+1/4'
'-x+1/2,y+3/4,z+1/4'
'-x+3/4,y+1/2,-z+1/4'
'x+3/4,-y+1/2,z+1/4'
loop_
_atom_site_label
_atom_site_fract_x
_atom_site_fract_y
_atom_site_fract_z
Mn1 0.0000 0.0000 0.0000
Hg1 0.1250 0.1250 0.6250
O1 0.0183 0.0184 0.2303
# Energy: -348.211 eV per cell

---

[2]
# PBE+U MnHgP2O8, relaxed
data_MnHgP2O8
_symmetry_space_group_name_H-M 'R -3'
_symmetry_Int_Tables_number 148
_symmetry_space_group_name_Hall '-R 3'
_cell_length_a 4.6771
_cell_length_b 4.6771
_cell_length_c 22.2009
_cell_angle_alpha 90.00
_cell_angle_beta 90.00
_cell_angle_gamma 120.00
loop_
_atom_site_label
_atom_site_fract_x
_atom_site_fract_y
_atom_site_fract_z
Mn1 0.0000 0.0000 0.0000
Hg1 0.0000 0.0000 0.5000
P1 0.0000 0.0000 0.2597
O1 0.0000 0.0000 0.1894
O2 0.0069 0.6440 0.3856
# Energy: -231.332 eV per cell

---

[3]
# PBE+U MnHgP2O, relaxed
data_MnHgP2O
_symmetry_space_group_name_H-M 'P 4/m m m'
_symmetry_Int_Tables_number 123
_symmetry_space_group_name_Hall '-P 4 2'
_cell_length_a 4.7742
_cell_length_b 4.7742
_cell_length_c 3.4443
_cell_angle_alpha 90.00
_cell_angle_beta 90.00
_cell_angle_gamma 90.00
loop_
_atom_site_label
_atom_site_fract_x
_atom_site_fract_y
_atom_site_fract_z
Mn1 0.0000 0.0000 0.0000
Hg1 0.5000 0.5000 0.5000
P1 0.0000 0.5000 0.0000
O1 0.0000 0.0000 0.5000
# Energy above the most stable polymorph in this dataset: 0 meV per atom
# Energy: -20.938 eV per cell

---

[4]
# PBE+U MnHgP2O, relaxed
data_MnHgP2O
_symmetry_space_group_name_H-M 'P 4/m m m'
_symmetry_Int_Tables_number 123
_symmetry_space_group_name_Hall '-P 4 2'
_cell_length_a 5.0664
_cell_length_b 5.0664
_cell_length_c 4.1194
_cell_angle_alpha 90.00
_cell_angle_beta 90.00
_cell_angle_gamma 90.00
loop_
_atom_site_label
_atom_site_fract_x
_atom_site_fract_y
_atom_site_fract_z
Mn1 0.0000 0.0000 0.0000
Hg1 0.5000 0.5000 0.5000
P1 0.0000 0.5000 0.5000
O1 0.5000 0.5000 0.0000
# Energy above the most stable polymorph in this dataset: 449 meV per atom
# Energy: -18.691 eV per cell

---

[5]
# PBE+U PaMnHgO6, relaxed
data_PaMnHgO6
_symmetry_space_group_name_H-M 'P 42 n m'
_symmetry_Int_Tables_number 102
_symmetry_space_group_name_Hall 'P 4n -2n'
_cell_length_a 4.9747
_cell_length_b 4.9747
_cell_length_c 9.8202
_cell_angle_alpha 90.00
_cell_angle_beta 90.00
_cell_angle_gamma 90.00
loop_
_atom_site_label
_atom_site_fract_x
_atom_site_fract_y
_atom_site_fract_z
Pa1 0.0000 0.0000 0.0000
Mn1 0.0000 0.0000 0.6666
Hg1 0.0000 0.0000 0.3310
O1 0.1744 0.1744 0.8179
O2 0.1894 0.1894 0.5205
O3 0.2230 0.2230 0.1535
# Energy: -125.274 eV per cell

---

[6]
# PBE+U PaMn2HgO8, relaxed
data_PaMn2HgO8
_symmetry_space_group_name_H-M 'I -4 m 2'
_symmetry_Int_Tables_number 119
_symmetry_space_group_name_Hall 'I -4 -2'
_cell_length_a 7.1168
_cell_length_b 7.1168
_cell_length_c 6.5427
_cell_angle_alpha 90.00
_cell_angle_beta 90.00
_cell_angle_gamma 90.00
loop_
_atom_site_label
_atom_site_fract_x
_atom_site_fract_y
_atom_site_fract_z
Pa1 0.0000 0.0000 0.0000
Mn1 0.0000 0.0000 0.5000
Mn2 0.0000 0.5000 0.2500
Hg1 0.0000 0.5000 0.7500
O1 0.0000 0.1746 0.6838
O2 0.0000 0.3057 0.0708
# Energy: -164.936 eV per cell